[1]
Al2BPI: relaxed, PBE.

## Properties
raw formation energy = 0.53 eV/atom
crystal system = tetragonal
DOS(E_F) = 0.52 states/eV/atom
E = -3.69 eV/atom

Cell lengths 4.887, 4.887, 3.913 Å; angles 90.00, 90.00, 90.00 degrees
Space group P4/mmm (No. 123)
Unique sites:
Al  0.000  0.500  0.000 (multiplicity 2)
B  0.000  0.000  0.000 (multiplicity 1)
P  0.000  0.000  0.500 (multiplicity 1)
I  0.500  0.500  0.500 (multiplicity 1)

[2]
AlBPt2I: relaxed, PBE.

## Properties
raw formation energy = 0.32 eV/atom
crystal system = tetragonal
DOS(E_F) = 0.56 states/eV/atom
E = -4.49 eV/atom

Cell lengths 4.082, 4.082, 6.279 Å; angles 90.00, 90.00, 90.00 degrees
Space group P4/mmm (No. 123)
Unique sites:
Al  0.000  0.000  0.000 (multiplicity 1)
B  0.500  0.500  0.500 (multiplicity 1)
Pt  0.000  0.500  0.500 (multiplicity 2)
I  0.500  0.500  0.000 (multiplicity 1)

[3]
AlBSb2I: relaxed, PBE.

## Properties
raw formation energy = 0.85 eV/atom
crystal system = tetragonal
DOS(E_F) = 0.76 states/eV/atom
E = -3.20 eV/atom
excess energy over the best structure of this formula in the dataset = 0 meV per atom

Cell lengths 4.859, 4.859, 5.187 Å; angles 90.00, 90.00, 90.00 degrees
Space group P4/mmm (No. 123)
Unique sites:
Al  0.000  0.000  0.000 (multiplicity 1)
B  0.500  0.500  0.500 (multiplicity 1)
Sb  0.000  0.500  0.500 (multiplicity 2)
I  0.500  0.500  0.000 (multiplicity 1)